1.
A plane-wave DFT calculation with PBE was carried out for a geometry-optimized NaCuPd2 structure.

Lattice parameters (Å, degrees): 9.595 9.595 9.595 156.59 156.59 33.35
Fractional coordinates of all 8 atoms:
Na: 0.000 0.000 0.000
Na: 0.750 0.250 0.500
Cu: 0.250 0.750 0.500
Cu: 0.500 0.500 0.000
Pd: 0.141 0.625 0.016
Pd: 0.375 0.391 0.516
Pd: 0.609 0.125 0.984
Pd: 0.875 0.859 0.484

Summary:
The calculation puts the density of states at the Fermi level at 4.442 states/eV per cell. The value obtained for the formation energy is 0.26 eV per atom. The value obtained for the density is 7.1 g/cm3. Its symmetry is I-42d. Its total moment is 0.00 μB/f.u.

2.
A plane-wave DFT calculation with PBE was carried out for a geometry-optimized ReAsI3 structure.

Lattice parameters (Å, degrees): 5.732 5.732 5.732 90.00 90.00 90.00
Fractional coordinates of all 5 atoms:
Re: 0.000 0.000 0.000
As: 0.500 0.500 0.500
I: 0.000 0.500 0.500
I: 0.500 0.000 0.500
I: 0.500 0.500 0.000

Summary:
The calculation puts the density of states at the Fermi level at 1.784 states/eV per cell. For the formation energy (no corrections), the calculation gives 1.2791 eV/atom. The value obtained for the density is 5.7 g/cm3. Its excess energy over the best structure of this formula in the dataset is 0.231 eV/atom. Its symmetry is Pm-3m. Its total moment is 5.73 μB/f.u.

3.
A plane-wave DFT calculation with PBE was carried out for a geometry-optimized MgCd2Br6 structure.

Lattice parameters (Å, degrees): 9.065 9.065 7.279 97.36 97.36 84.56
Fractional coordinates of all 18 atoms:
Mg: 0.099 0.901 0.750
Mg: 0.901 0.099 0.250
Cd: 0.223 0.401 0.676
Cd: 0.401 0.223 0.176
Cd: 0.599 0.777 0.824
Cd: 0.777 0.599 0.324
Br: 0.032 0.182 0.607
Br: 0.111 0.640 0.870
Br: 0.182 0.032 0.107
Br: 0.287 0.470 0.357
Br: 0.360 0.889 0.630
Br: 0.470 0.287 0.857
Br: 0.530 0.713 0.143
Br: 0.640 0.111 0.370
Br: 0.713 0.530 0.643
Br: 0.818 0.968 0.893
Br: 0.889 0.360 0.130
Br: 0.968 0.818 0.393

Summary:
The calculation puts the density of states at the Fermi level at 0.000 states/eV per cell. For the formation energy (no corrections), the calculation gives -1.0073 eV/atom. The value obtained for the density is 4.1 g/cm3. Its excess energy over the best structure of this formula in the dataset is 0.056 eV/atom. Its symmetry is C2/c. Its total moment is 0.00 μB/f.u.

4.
A plane-wave DFT calculation with PBE was carried out for a geometry-optimized LiCeScMo structure.

Lattice parameters (Å, degrees): 4.843 4.843 4.843 60.00 60.00 60.00
Fractional coordinates of all 4 atoms:
Li: 0.000 0.000 0.000
Ce: 0.750 0.750 0.750
Sc: 0.250 0.250 0.250
Mo: 0.500 0.500 0.500

Summary:
The calculation puts the density of states at the Fermi level at 4.097 states/eV per cell. The value obtained for the formation energy is 0.15 eV per atom. The value obtained for the density is 6.0 g/cm3. Its symmetry is F-43m. Its total moment is 0.00 μB/f.u.

5.
A plane-wave DFT calculation with PBE was carried out for a geometry-optimized Sr4Ca2H structure.

Lattice parameters (Å, degrees): 10.700 10.700 10.700 150.26 150.26 42.56
Fractional coordinates of all 7 atoms:
Sr: 0.000 0.500 0.500
Sr: 0.149 0.149 0.000
Sr: 0.500 0.000 0.500
Sr: 0.851 0.851 0.000
Ca: 0.343 0.343 0.000
Ca: 0.657 0.657 0.000
H: 0.000 0.000 0.000

Summary:
The calculation puts the density of states at the Fermi level at 6.429 states/eV per cell. Its total energy is -0.1449 Ry/atom. The value obtained for the density is 2.4 g/cm3. Its symmetry is I4/mmm. Its total moment is 0.00 μB/f.u.

6.
A plane-wave DFT calculation with PBE was carried out for a geometry-optimized SmFe22B6 structure.

Lattice parameters (Å, degrees): 7.582 7.582 7.582 60.00 60.00 60.00
Fractional coordinates of all 29 atoms:
Sm: 0.000 0.000 0.000
Fe: 0.000 0.000 0.352
Fe: 0.000 0.000 0.648
Fe: 0.000 0.352 0.000
Fe: 0.000 0.352 0.648
Fe: 0.000 0.648 0.000
Fe: 0.000 0.648 0.352
Fe: 0.146 0.618 0.618
Fe: 0.250 0.250 0.250
Fe: 0.352 0.000 0.000
Fe: 0.352 0.000 0.648
Fe: 0.352 0.648 0.000
Fe: 0.382 0.382 0.382
Fe: 0.382 0.382 0.854
Fe: 0.382 0.854 0.382
Fe: 0.618 0.146 0.618
Fe: 0.618 0.618 0.146
Fe: 0.618 0.618 0.618
Fe: 0.648 0.000 0.000
Fe: 0.648 0.000 0.352
Fe: 0.648 0.352 0.000
Fe: 0.750 0.750 0.750
Fe: 0.854 0.382 0.382
B: 0.274 0.274 0.726
B: 0.274 0.726 0.274
B: 0.274 0.726 0.726
B: 0.726 0.274 0.274
B: 0.726 0.274 0.726
B: 0.726 0.726 0.274

Summary:
The calculation puts the density of states at the Fermi level at 20.562 states/eV per cell. The value obtained for the formation energy is -0.11 eV per atom. The value obtained for the density is 7.8 g/cm3. Its symmetry is Fm-3m. Its total moment is 44.63 μB/f.u.

7.
A plane-wave DFT calculation with PBE was carried out for a geometry-optimized Li2PaTe3 structure.

Lattice parameters (Å, degrees): 7.480 7.480 7.453 99.64 99.64 119.98
Fractional coordinates of all 12 atoms:
Li: 0.000 0.000 0.000
Li: 0.171 0.829 0.500
Li: 0.500 0.500 0.500
Li: 0.829 0.171 0.500
Pa: 0.334 0.666 0.000
Pa: 0.666 0.334 0.000
Te: 0.084 0.417 0.254
Te: 0.248 0.248 0.743
Te: 0.417 0.084 0.254
Te: 0.583 0.916 0.746
Te: 0.752 0.752 0.257
Te: 0.916 0.583 0.746

Summary:
The calculation puts the density of states at the Fermi level at 11.081 states/eV per cell. For the formation energy (no corrections), the calculation gives -0.9139 eV/atom. The value obtained for the density is 6.1 g/cm3. Its excess energy over the best structure of this formula in the dataset is 0.000 eV/atom. Its symmetry is C2/m. Its total moment is 1.00 μB/f.u.

8.
A plane-wave DFT calculation with PBE was carried out for a geometry-optimized Sn3GeBi structure.

Lattice parameters (Å, degrees): 5.858 5.858 5.858 90.00 90.00 90.00
Fractional coordinates of all 5 atoms:
Sn: 0.000 0.000 0.500
Sn: 0.000 0.500 0.000
Sn: 0.500 0.000 0.000
Ge: 0.500 0.500 0.500
Bi: 0.000 0.000 0.000

Summary:
The calculation puts the density of states at the Fermi level at 4.645 states/eV per cell. The value obtained for the formation energy is 0.97 eV per atom. The value obtained for the density is 5.3 g/cm3. Its excess energy over the best structure of this formula in the dataset is 0.573 eV/atom. Its symmetry is Pm-3m. Its total moment is 0.00 μB/f.u.